## Ba3Pr2TmTe6 (GGA-PBE)

Data for Ba3Pr2TmTe6 after structural relaxation.

## Properties
Density, g/cm³: 6.13
Formation energy from raw total energies, eV per formula unit: -18.58

a = 8.0473 Å, b = 8.0473 Å, c = 8.3004 Å
α = 99.33°, β = 99.33°, γ = 119.89°
Sites, in units of the cell vectors:
Ba1 0.1713 0.8287 0.5000
Ba2 0.8287 0.1713 0.5000
Ba3 0.5000 0.5000 0.5000
Pr1 0.3349 0.6651 0.0000
Pr2 0.6651 0.3349 0.0000
Tm1 0.0000 0.0000 0.0000
Te1 0.9274 0.6058 0.7804
Te2 0.7542 0.7542 0.2240
Te3 0.0726 0.3942 0.2196
Te4 0.6058 0.9274 0.7804
Te5 0.2458 0.2458 0.7760
Te6 0.3942 0.0726 0.2196

=====

## BaPrTh (GGA-PBE)

Data for BaPrTh after structural relaxation.

## Properties
Density, g/cm³: 7.04
E_form, eV/atom: 0.20

a = 3.7033 Å, b = 3.7033 Å, c = 9.1625 Å
α = 101.66°, β = 101.66°, γ = 90.00°
Sites, in units of the cell vectors:
Pr1 0.3157 0.3157 0.6314
Ba1 0.0051 0.0051 0.0102
Th1 0.6792 0.6792 0.3584

=====

Which of these has the lowest density?
Ba3Pr2TmTe6